Entry 1:
# TiBeP2

A relaxed structure of TiBeP2 (PBE, Alexandria via LeMat-Bulk).

Geometry as extended XYZ:
```
4
Lattice="1.775 1.025 6.859 -1.775 1.025 6.859 0.000 -2.050 6.859" Properties=species:S:1:pos:R:3 pbc="T T T"
Ti 0.000 0.000 0.000
Be 0.000 0.000 10.288
P 0.000 0.000 8.295
P 0.000 0.000 12.281
```

Size of the total moment   0.0 μB per formula unit
Total DFT energy (no corrections)   -5.826 eV per atom
Energy relative to the elements   -0.2157 eV/atom
N(E_F)   0.8 states/eV/f.u.
ρ   2.64 g/cm3


Entry 2:
# MgTl3Bi2S6

A relaxed structure of MgTl3Bi2S6 (PBE, Alexandria via LeMat-Bulk).

Geometry as extended XYZ:
```
12
Lattice="3.517 -6.101 0.000 3.517 6.101 0.000 -2.342 0.000 7.156" Properties=species:S:1:pos:R:3 pbc="T T T"
Mg 0.000 0.000 0.000
Tl 2.346 4.077 3.578
Tl 2.346 0.000 3.578
Tl 2.346 -4.077 3.578
Bi 3.517 2.031 0.000
Bi 3.517 -2.031 0.000
S 1.116 1.938 1.500
S -0.113 0.000 5.663
S 1.116 -1.938 1.500
S 3.576 1.938 5.656
S 4.805 0.000 1.493
S 3.576 -1.938 5.656
```

Size of the total moment   0.0 μB per formula unit
Total DFT energy (no corrections)   -3.946 eV per atom
N(E_F)   6.4 states/eV/f.u.
ρ   6.75 g/cm3
Energy relative to the elements, uncorrected   -0.511 eV per atom


Entry 3:
# SbSeBr

A relaxed structure of SbSeBr (PBE, Alexandria via LeMat-Bulk).

Geometry as extended XYZ:
```
6
Lattice="5.933 0.000 0.000 0.000 3.946 0.000 -0.832 0.000 9.270" Properties=species:S:1:pos:R:3 pbc="T T T"
Sb 0.000 0.000 0.000
Sb 2.390 1.973 3.010
Se -0.131 1.973 2.021
Se 1.990 0.000 4.717
Br 2.667 0.000 0.033
Br 5.187 1.973 7.176
```

Size of the total moment   0.0 μB per formula unit
Total DFT energy (no corrections)   -3.462 eV per atom
ρ   4.29 g/cm3
Energy relative to the elements, uncorrected   -0.369 eV per atom